DFT (PBEsol) results for a relaxed structure of ScPPbO2.

Computed properties:
Magnetization = 0.1169 μB per atom
Crystal system = tetragonal
Mass density = 6111 kg/m3
Space-group type = P4/mmm
E_form (uncorrected) = -1.192 eV/atom

Cell lengths 4.0187, 4.0187, 5.3024 Å; angles 90.00, 90.00, 90.00 degrees
Last column: nearest neighbours and their distance in Å.
Fractional coordinates of all 5 atoms:
Sc1 0.0000 0.0000 0.0000  4 O 2.01
P1 0.0000 0.0000 0.5000  2 Sc 2.65, 4 Pb 2.84
Pb1 0.5000 0.5000 0.5000  4 P 2.84
O1 0.0000 0.5000 0.0000  2 Sc 2.01
O2 0.5000 0.0000 0.0000  2 Sc 2.01